An optimized crystal structure of Sr4Cu3Au, computed with PBE-GGA.

abc: 4.464 4.455 11.688
angles: 90.00 90.00 90.00
Sites, in units of the cell vectors:
Cu 0.000 0.000 0.446
Cu 0.500 0.000 0.935
Cu 0.000 0.500 0.554
Sr 0.500 0.500 0.360
Sr 0.000 0.000 0.141
Sr 0.000 0.500 0.859
Sr 0.500 0.000 0.639
Au 0.500 0.500 0.066

- E_form (eV per atom) = -0.265
- energy (eV/atom) = -3.0521
- size of the total moment (μB/f.u.) = 0.00